[1]
# LuPuC2 (PBE-GGA, relaxed)
# Volume ... 15.10 Å³ per atom
# D(E_F) ... 8.04 states/eV/f.u.
# Electronic total energy ... -37.7 eV/f.u.
# E_form ... -0.100 eV per atom
data_LuPuC2
_space_group_name_H-M_alt 'R -3 m'
_space_group_IT_number 166
_space_group_name_Hall '-R 3 2"'
_cell_length_a 3.5180
_cell_length_b 3.5180
_cell_length_c 16.9085
_cell_angle_alpha 90.00
_cell_angle_beta 90.00
_cell_angle_gamma 120.00
loop_
_atom_site_label
_atom_site_type_symbol
_atom_site_fract_x
_atom_site_fract_y
_atom_site_fract_z
Lu1 Lu 0.0000 0.0000 0.0000
Pu1 Pu 0.0000 0.0000 0.5000
C1 C 0.0000 0.0000 0.2424

[2]
# LuPu2C (PBE-GGA, relaxed)
# Volume ... 21.14 Å³ per atom
# D(E_F) ... 10.19 states/eV/f.u.
# Electronic total energy ... -41.5 eV/f.u.
# E_form ... 0.223 eV per atom
data_LuPu2C
_space_group_name_H-M_alt 'P 4/m m m'
_space_group_IT_number 123
_space_group_name_Hall '-P 4 2'
_cell_length_a 3.1506
_cell_length_b 3.1506
_cell_length_c 8.5187
_cell_angle_alpha 90.00
_cell_angle_beta 90.00
_cell_angle_gamma 90.00
loop_
_atom_site_label
_atom_site_type_symbol
_atom_site_fract_x
_atom_site_fract_y
_atom_site_fract_z
Lu1 Lu 0.0000 0.0000 0.0000
Pu1 Pu 0.5000 0.5000 0.3404
C1 C 0.0000 0.0000 0.5000

[3]
# RbLu2C (PBE-GGA, relaxed)
# Volume ... 28.79 Å³ per atom
# D(E_F) ... 3.51 states/eV/f.u.
# Electronic total energy ... -19.2 eV/f.u.
# E_form ... 0.013 eV per atom
data_RbLu2C
_space_group_name_H-M_alt 'R -3 m'
_space_group_IT_number 166
_space_group_name_Hall '-R 3 2"'
_cell_length_a 3.5604
_cell_length_b 3.5604
_cell_length_c 31.4655
_cell_angle_alpha 90.00
_cell_angle_beta 90.00
_cell_angle_gamma 120.00
loop_
_atom_site_label
_atom_site_type_symbol
_atom_site_fract_x
_atom_site_fract_y
_atom_site_fract_z
Rb1 Rb 0.0000 0.0000 0.0000
Lu1 Lu 0.0000 0.0000 0.1254
C1 C 0.0000 0.0000 0.5000

[4]
# LuReC2 (PBE-GGA, relaxed)
# Volume ... 11.78 Å³ per atom
# D(E_F) ... 0.87 states/eV/f.u.
# Electronic total energy ... -35.7 eV/f.u.
# E_form ... -0.072 eV per atom
data_LuReC2
_space_group_name_H-M_alt 'R -3 m'
_space_group_IT_number 166
_space_group_name_Hall '-R 3 2"'
_cell_length_a 3.1823
_cell_length_b 3.1823
_cell_length_c 16.1194
_cell_angle_alpha 90.00
_cell_angle_beta 90.00
_cell_angle_gamma 120.00
loop_
_atom_site_label
_atom_site_type_symbol
_atom_site_fract_x
_atom_site_fract_y
_atom_site_fract_z
Lu1 Lu 0.0000 0.0000 0.0000
Re1 Re 0.0000 0.0000 0.5000
C1 C 0.0000 0.0000 0.2399

[5]
# Lu2RhC (PBE-GGA, relaxed)
# Volume ... 19.42 Å³ per atom
# D(E_F) ... 1.22 states/eV/f.u.
# Electronic total energy ... -26.0 eV/f.u.
# E_form ... -0.108 eV per atom
data_Lu2RhC
_space_group_name_H-M_alt 'R -3 m'
_space_group_IT_number 166
_space_group_name_Hall '-R 3 2"'
_cell_length_a 3.4075
_cell_length_b 3.4075
_cell_length_c 23.1792
_cell_angle_alpha 90.00
_cell_angle_beta 90.00
_cell_angle_gamma 120.00
loop_
_atom_site_label
_atom_site_type_symbol
_atom_site_fract_x
_atom_site_fract_y
_atom_site_fract_z
Lu1 Lu 0.0000 0.0000 0.1098
Rh1 Rh 0.0000 0.0000 0.0000
C1 C 0.0000 0.0000 0.5000

[6]
# Lu2Rh4C (PBE-GGA, relaxed)
# Volume ... 16.71 Å³ per atom
# D(E_F) ... 1.38 states/eV/f.u.
# Electronic total energy ... -51.0 eV/f.u.
# E_form ... -0.477 eV per atom
data_Lu2Rh4C
_space_group_name_H-M_alt 'I 4/m m m'
_space_group_IT_number 139
_space_group_name_Hall '-I 4 2'
_cell_length_a 4.0930
_cell_length_b 4.0930
_cell_length_c 13.9653
_cell_angle_alpha 90.00
_cell_angle_beta 90.00
_cell_angle_gamma 90.00
loop_
_atom_site_label
_atom_site_type_symbol
_atom_site_fract_x
_atom_site_fract_y
_atom_site_fract_z
Lu1 Lu 0.0000 0.0000 0.1553
Rh1 Rh 0.0000 0.0000 0.3526
Rh2 Rh 0.0000 0.5000 0.0000
C1 C 0.0000 0.0000 0.5000

[7]
# Lu12Ru3C5 (PBE-GGA, relaxed)
# Volume ... 20.97 Å³ per atom
# D(E_F) ... 7.01 states/eV/f.u.
# Electronic total energy ... -132.4 eV/f.u.
# E_form ... -0.212 eV per atom
data_Lu12Ru3C5
_space_group_name_H-M_alt 'I a -3 d'
_space_group_IT_number 230
_space_group_name_Hall '-I 4bd 2c 3'
_cell_length_a 14.9713
_cell_length_b 14.9713
_cell_length_c 14.9713
_cell_angle_alpha 90.00
_cell_angle_beta 90.00
_cell_angle_gamma 90.00
loop_
_atom_site_label
_atom_site_type_symbol
_atom_site_fract_x
_atom_site_fract_y
_atom_site_fract_z
Lu1 Lu 0.0269 0.0557 0.6521
Ru1 Ru 0.0000 0.2500 0.1250
C1 C 0.0000 0.0000 0.0000
C2 C 0.0000 0.2500 0.3750

[8]
# LuRu2C (PBE-GGA, relaxed)
# Volume ... 14.99 Å³ per atom
# D(E_F) ... 4.00 states/eV/f.u.
# Electronic total energy ... -31.6 eV/f.u.
# E_form ... 0.182 eV per atom
data_LuRu2C
_space_group_name_H-M_alt 'R -3 m'
_space_group_IT_number 166
_space_group_name_Hall '-R 3 2"'
_cell_length_a 3.2153
_cell_length_b 3.2153
_cell_length_c 20.0952
_cell_angle_alpha 90.00
_cell_angle_beta 90.00
_cell_angle_gamma 120.00
loop_
_atom_site_label
_atom_site_type_symbol
_atom_site_fract_x
_atom_site_fract_y
_atom_site_fract_z
Lu1 Lu 0.0000 0.0000 0.0000
Ru1 Ru 0.0000 0.0000 0.2178
C1 C 0.0000 0.0000 0.5000

[9]
# Lu4Sb2C (PBE-GGA, relaxed)
# Volume ... 23.99 Å³ per atom
# D(E_F) ... 5.61 states/eV/f.u.
# Electronic total energy ... -40.8 eV/f.u.
data_Lu4Sb2C
_space_group_name_H-M_alt 'I 4/m m m'
_space_group_IT_number 139
_space_group_name_Hall '-I 4 2'
_cell_length_a 4.6701
_cell_length_b 4.6701
_cell_length_c 15.3994
_cell_angle_alpha 90.00
_cell_angle_beta 90.00
_cell_angle_gamma 90.00
loop_
_atom_site_label
_atom_site_type_symbol
_atom_site_fract_x
_atom_site_fract_y
_atom_site_fract_z
Lu1 Lu 0.0000 0.0000 0.1557
Lu2 Lu 0.0000 0.5000 0.0000
Sb1 Sb 0.0000 0.0000 0.3566
C1 C 0.0000 0.0000 0.0000

[10]
# Lu12Sb3C5 (PBE-GGA, relaxed)
# Volume ... 22.97 Å³ per atom
# D(E_F) ... 14.52 states/eV/f.u.
# Electronic total energy ... -120.8 eV/f.u.
data_Lu12Sb3C5
_space_group_name_H-M_alt 'I a -3 d'
_space_group_IT_number 230
_space_group_name_Hall '-I 4bd 2c 3'
_cell_length_a 15.4313
_cell_length_b 15.4313
_cell_length_c 15.4313
_cell_angle_alpha 90.00
_cell_angle_beta 90.00
_cell_angle_gamma 90.00
loop_
_atom_site_label
_atom_site_type_symbol
_atom_site_fract_x
_atom_site_fract_y
_atom_site_fract_z
Lu1 Lu 0.0366 0.0507 0.6473
Sb1 Sb 0.0000 0.2500 0.1250
C1 C 0.0000 0.0000 0.0000
C2 C 0.0000 0.2500 0.3750

[11]
# Lu3ScC (PBE-GGA, relaxed)
# Volume ... 23.14 Å³ per atom
# D(E_F) ... 6.86 states/eV/f.u.
# Electronic total energy ... -29.5 eV/f.u.
# E_form ... -0.079 eV per atom
data_Lu3ScC
_space_group_name_H-M_alt 'P m -3 m'
_space_group_IT_number 221
_space_group_name_Hall '-P 4 2 3'
_cell_length_a 4.8725
_cell_length_b 4.8725
_cell_length_c 4.8725
_cell_angle_alpha 90.00
_cell_angle_beta 90.00
_cell_angle_gamma 90.00
loop_
_atom_site_label
_atom_site_type_symbol
_atom_site_fract_x
_atom_site_fract_y
_atom_site_fract_z
Lu1 Lu 0.0000 0.0000 0.5000
Sc1 Sc 0.5000 0.5000 0.5000
C1 C 0.0000 0.0000 0.0000

[12]
# LuSc2C (PBE-GGA, relaxed)
# Volume ... 21.41 Å³ per atom
# D(E_F) ... 4.30 states/eV/f.u.
# Electronic total energy ... -27.2 eV/f.u.
# E_form ... -0.199 eV per atom
data_LuSc2C
_space_group_name_H-M_alt 'R -3 m'
_space_group_IT_number 166
_space_group_name_Hall '-R 3 2"'
_cell_length_a 3.3226
_cell_length_b 3.3226
_cell_length_c 26.8705
_cell_angle_alpha 90.00
_cell_angle_beta 90.00
_cell_angle_gamma 120.00
loop_
_atom_site_label
_atom_site_type_symbol
_atom_site_fract_x
_atom_site_fract_y
_atom_site_fract_z
Lu1 Lu 0.0000 0.0000 0.0000
Sc1 Sc 0.0000 0.0000 0.1213
C1 C 0.0000 0.0000 0.5000

[13]
# Lu2CSe (PBE-GGA, relaxed)
# Volume ... 18.74 Å³ per atom
# D(E_F) ... 0.20 states/eV/f.u.
# Electronic total energy ... -26.6 eV/f.u.
data_Lu2CSe
_space_group_name_H-M_alt 'R -3 m'
_space_group_IT_number 166
_space_group_name_Hall '-R 3 2"'
_cell_length_a 3.6700
_cell_length_b 3.6700
_cell_length_c 19.2821
_cell_angle_alpha 90.00
_cell_angle_beta 90.00
_cell_angle_gamma 120.00
loop_
_atom_site_label
_atom_site_type_symbol
_atom_site_fract_x
_atom_site_fract_y
_atom_site_fract_z
Lu1 Lu 0.0000 0.0000 0.2331
C1 C 0.0000 0.0000 0.5000
Se1 Se 0.0000 0.0000 0.0000

[14]
# Lu5Si3C (PBE-GGA, relaxed)
# Volume ... 20.40 Å³ per atom
# D(E_F) ... 6.92 states/eV/f.u.
# Electronic total energy ... -53.9 eV/f.u.
data_Lu5Si3C
_space_group_name_H-M_alt 'P 63/m c m'
_space_group_IT_number 193
_space_group_name_Hall '-P 6c 2'
_cell_length_a 8.2361
_cell_length_b 8.2361
_cell_length_c 6.2492
_cell_angle_alpha 90.00
_cell_angle_beta 90.00
_cell_angle_gamma 120.00
loop_
_atom_site_label
_atom_site_type_symbol
_atom_site_fract_x
_atom_site_fract_y
_atom_site_fract_z
Lu1 Lu 0.0000 0.2224 0.2500
Lu2 Lu 0.3333 0.6667 0.0000
Si1 Si 0.0000 0.4107 0.7500
C1 C 0.0000 0.0000 0.0000

[15]
# SmLuC2 (PBE-GGA, relaxed)
# Volume ... 16.49 Å³ per atom
# D(E_F) ... 4.65 states/eV/f.u.
# Electronic total energy ... -27.3 eV/f.u.
# E_form ... 0.086 eV per atom
data_SmLuC2
_space_group_name_H-M_alt 'R -3 m'
_space_group_IT_number 166
_space_group_name_Hall '-R 3 2"'
_cell_length_a 3.6079
_cell_length_b 3.6079
_cell_length_c 17.5576
_cell_angle_alpha 90.00
_cell_angle_beta 90.00
_cell_angle_gamma 120.00
loop_
_atom_site_label
_atom_site_type_symbol
_atom_site_fract_x
_atom_site_fract_y
_atom_site_fract_z
Sm1 Sm 0.0000 0.0000 0.0000
Lu1 Lu 0.0000 0.0000 0.5000
C1 C 0.0000 0.0000 0.2449

[16]
# Sm2LuC (PBE-GGA, relaxed)
# Volume ... 26.99 Å³ per atom
# D(E_F) ... 4.47 states/eV/f.u.
# Electronic total energy ... -23.0 eV/f.u.
# E_form ... 0.042 eV per atom
data_Sm2LuC
_space_group_name_H-M_alt 'R -3 m'
_space_group_IT_number 166
_space_group_name_Hall '-R 3 2"'
_cell_length_a 3.5822
_cell_length_b 3.5822
_cell_length_c 29.1431
_cell_angle_alpha 90.00
_cell_angle_beta 90.00
_cell_angle_gamma 120.00
loop_
_atom_site_label
_atom_site_type_symbol
_atom_site_fract_x
_atom_site_fract_y
_atom_site_fract_z
Sm1 Sm 0.0000 0.0000 0.1187
Lu1 Lu 0.0000 0.0000 0.0000
C1 C 0.0000 0.0000 0.5000

[17]
# SmLu2C (PBE-GGA, relaxed)
# Volume ... 24.95 Å³ per atom
# D(E_F) ... 4.45 states/eV/f.u.
# Electronic total energy ... -23.6 eV/f.u.
# E_form ... -0.147 eV per atom
data_SmLu2C
_space_group_name_H-M_alt 'R -3 m'
_space_group_IT_number 166
_space_group_name_Hall '-R 3 2"'
_cell_length_a 3.4630
_cell_length_b 3.4630
_cell_length_c 28.8249
_cell_angle_alpha 90.00
_cell_angle_beta 90.00
_cell_angle_gamma 120.00
loop_
_atom_site_label
_atom_site_type_symbol
_atom_site_fract_x
_atom_site_fract_y
_atom_site_fract_z
Sm1 Sm 0.0000 0.0000 0.0000
Lu1 Lu 0.0000 0.0000 0.1213
C1 C 0.0000 0.0000 0.5000

[18]
# SrLu2C (PBE-GGA, relaxed)
# Volume ... 26.73 Å³ per atom
# D(E_F) ... 2.57 states/eV/f.u.
# Electronic total energy ... -20.3 eV/f.u.
# E_form ... -0.088 eV per atom
data_SrLu2C
_space_group_name_H-M_alt 'R -3 m'
_space_group_IT_number 166
_space_group_name_Hall '-R 3 2"'
_cell_length_a 3.5613
_cell_length_b 3.5613
_cell_length_c 29.2014
_cell_angle_alpha 90.00
_cell_angle_beta 90.00
_cell_angle_gamma 120.00
loop_
_atom_site_label
_atom_site_type_symbol
_atom_site_fract_x
_atom_site_fract_y
_atom_site_fract_z
Sr1 Sr 0.0000 0.0000 0.0000
Lu1 Lu 0.0000 0.0000 0.1224
C1 C 0.0000 0.0000 0.5000

[19]
# Lu2TaC (PBE-GGA, relaxed)
# Volume ... 20.58 Å³ per atom
# D(E_F) ... 3.39 states/eV/f.u.
# Electronic total energy ... -28.8 eV/f.u.
# E_form ... 0.322 eV per atom
data_Lu2TaC
_space_group_name_H-M_alt 'R -3 m'
_space_group_IT_number 166
_space_group_name_Hall '-R 3 2"'
_cell_length_a 3.2975
_cell_length_b 3.2975
_cell_length_c 26.2212
_cell_angle_alpha 90.00
_cell_angle_beta 90.00
_cell_angle_gamma 120.00
loop_
_atom_site_label
_atom_site_type_symbol
_atom_site_fract_x
_atom_site_fract_y
_atom_site_fract_z
Lu1 Lu 0.0000 0.0000 0.1158
Ta1 Ta 0.0000 0.0000 0.0000
C1 C 0.0000 0.0000 0.5000

[20]
# LuTaC2 (PBE-GGA, relaxed)
# Volume ... 12.65 Å³ per atom
# D(E_F) ... 0.86 states/eV/f.u.
# Electronic total energy ... -37.2 eV/f.u.
# E_form ... -0.599 eV per atom
data_LuTaC2
_space_group_name_H-M_alt 'R -3 m'
_space_group_IT_number 166
_space_group_name_Hall '-R 3 2"'
_cell_length_a 3.2664
_cell_length_b 3.2664
_cell_length_c 16.4254
_cell_angle_alpha 90.00
_cell_angle_beta 90.00
_cell_angle_gamma 120.00
loop_
_atom_site_label
_atom_site_type_symbol
_atom_site_fract_x
_atom_site_fract_y
_atom_site_fract_z
Lu1 Lu 0.0000 0.0000 0.0000
Ta1 Ta 0.0000 0.0000 0.5000
C1 C 0.0000 0.0000 0.2416